No. 1
Computed, not measured: a relaxed Co2NiHPd crystal at the GGA-PBE level of DFT.

Results
D(E_F) (states/eV per cell): 5.4
Offset from the most stable computed form (meV/atom): 0
Calculated volume (A^3/atom): 10.08
Magnetic moment (μB/atom): 0.831
Symmetry: P4/mmm

abc: 3.6705 3.6705 3.7424
angles: 90.00 90.00 90.00
Positions (direct):
Co1 0.0000 0.5000 0.0000
Co2 0.5000 0.0000 0.0000
Ni1 0.0000 0.0000 0.5000
H1 0.0000 0.0000 0.0000
Pd1 0.5000 0.5000 0.5000


No. 2
Computed, not measured: a relaxed Zr3ScAs crystal at the GGA-PBE level of DFT.

Results
D(E_F) (states/eV per cell): 9.6
Offset from the most stable computed form (meV/atom): 1143
ΔE_f (eV/f.u.): 5.3
Calculated volume (A^3/atom): 24.85
Magnetic moment (μB/atom): 0.160
Symmetry: Pm-3m

abc: 4.9897 4.9897 4.9897
angles: 90.00 90.00 90.00
Positions (direct):
Zr1 0.0000 0.0000 0.5000
Zr2 0.0000 0.5000 0.0000
Zr3 0.5000 0.0000 0.0000
Sc1 0.0000 0.0000 0.0000
As1 0.5000 0.5000 0.5000


No. 3
Computed, not measured: a relaxed TbPr2HoMg crystal at the GGA-PBE level of DFT.

Results
D(E_F) (states/eV per cell): 14.5
ΔE_f (eV/f.u.): 0.8
Calculated volume (A^3/atom): 32.70
Magnetic moment (μB/atom): 0.000
Symmetry: Pmma

abc: 5.9260 7.4830 7.3737
angles: 90.00 90.00 90.00
Positions (direct):
Tb1 0.2500 0.0000 0.1478
Tb2 0.7500 0.0000 0.8522
Pr1 0.2500 0.2160 0.6901
Pr2 0.2500 0.7840 0.6901
Pr3 0.7500 0.2160 0.3099
Pr4 0.7500 0.7840 0.3099
Ho1 0.2500 0.5000 0.3706
Ho2 0.7500 0.5000 0.6294
Mg1 0.0000 0.5000 0.0000
Mg2 0.5000 0.5000 0.0000


No. 4
Computed, not measured: a relaxed Cd2CuRe crystal at the GGA-PBE level of DFT.

Results
D(E_F) (states/eV per cell): 1.0
Offset from the most stable computed form (meV/atom): 0
ΔE_f (eV/f.u.): 1.6
Calculated volume (A^3/atom): 17.04
Magnetic moment (μB/atom): 0.000
Symmetry: Cmm2

abc: 2.7677 2.7677 9.3019
angles: 90.00 90.00 106.97
Positions (direct):
Cd1 0.0000 0.0000 0.0000
Cd2 0.5000 0.5000 0.2920
Cu1 0.5000 0.5000 0.7625
Re1 0.0000 0.0000 0.5494


No. 5
Computed, not measured: a relaxed K2SmYS4 crystal at the GGA-PBE level of DFT.

Results
D(E_F) (states/eV per cell): 0.0
Energy relative to the elements, uncorrected (eV/atom): -1.88
Calculated volume (A^3/atom): 26.86
Magnetic moment (μB/atom): 0.000
Symmetry: P2/m

abc: 7.1014 4.1001 7.7507
angles: 90.00 107.78 90.00
Positions (direct):
K1 0.0000 0.0000 0.0000
K2 0.5000 0.5000 0.0000
Sm1 0.0000 0.5000 0.5000
Y1 0.5000 0.0000 0.5000
S1 0.2393 0.0000 0.7047
S2 0.2701 0.5000 0.2971
S3 0.7299 0.5000 0.7029
S4 0.7607 0.0000 0.2953


No. 6
Computed, not measured: a relaxed Y2InW crystal at the GGA-PBE level of DFT.

Results
D(E_F) (states/eV per cell): 10.8
ΔE_f (eV/f.u.): 3.5
Calculated volume (A^3/atom): 25.16
Magnetic moment (μB/atom): 0.000
Symmetry: I-42d

abc: 11.1252 11.1252 11.1252
angles: 157.51 157.51 32.01
Positions (direct):
Y1 0.1127 0.6250 0.9877
Y2 0.3750 0.3627 0.4877
Y3 0.6373 0.1250 0.0123
Y4 0.8750 0.8873 0.5123
In1 0.2500 0.7500 0.5000
In2 0.5000 0.5000 0.0000
W1 0.0000 0.0000 0.0000
W2 0.7500 0.2500 0.5000


No. 7
Computed, not measured: a relaxed Pu2Np2BIr4 crystal at the GGA-PBE level of DFT.

Results
D(E_F) (states/eV per cell): 20.2
ΔE_f (eV/f.u.): -2.1
Calculated volume (A^3/atom): 18.06
Magnetic moment (μB/atom): 2.015
Symmetry: I4/mmm

abc: 6.2045 6.2045 6.2045
angles: 122.31 122.31 86.05
Positions (direct):
Pu1 0.2151 0.2151 0.0000
Pu2 0.7849 0.7849 0.0000
Np1 0.2500 0.7500 0.5000
Np2 0.7500 0.2500 0.5000
B1 0.5000 0.5000 0.0000
Ir1 0.2527 0.2527 0.5055
Ir2 0.2527 0.7472 0.0000
Ir3 0.7472 0.2527 0.0000
Ir4 0.7472 0.7472 0.4945


No. 8
Computed, not measured: a relaxed Ac2MgSnHg6 crystal at the GGA-PBE level of DFT.

Results
D(E_F) (states/eV per cell): 4.2
ΔE_f (eV/f.u.): -3.1
Calculated volume (A^3/atom): 28.54
Magnetic moment (μB/atom): 0.000
Symmetry: P-1

abc: 5.7692 7.4378 7.5337
angles: 79.72 70.99 69.40
Positions (direct):
Ac1 0.0042 0.2293 0.2747
Ac2 0.9958 0.7707 0.7253
Mg1 0.5000 0.5000 0.0000
Sn1 0.5000 0.0000 0.5000
Hg1 0.0042 0.7015 0.2495
Hg2 0.3455 0.9143 0.9294
Hg3 0.4995 0.3448 0.6768
Hg4 0.5005 0.6552 0.3232
Hg5 0.6545 0.0857 0.0706
Hg6 0.9958 0.2985 0.7505


No. 9
Computed, not measured: a relaxed Y7Sn2Hg2 crystal at the GGA-PBE level of DFT.

Results
D(E_F) (states/eV per cell): 10.7
ΔE_f (eV/f.u.): -2.4
Calculated volume (A^3/atom): 31.06
Magnetic moment (μB/atom): 0.000
Symmetry: Cmmm

abc: 6.9454 6.9454 7.4569
angles: 90.00 90.00 108.22
Positions (direct):
Y1 0.0000 0.0000 0.0000
Y2 0.0000 0.5000 0.2805
Y3 0.0000 0.5000 0.7195
Y4 0.5000 0.0000 0.2805
Y5 0.5000 0.0000 0.7195
Y6 0.5000 0.5000 0.2525
Y7 0.5000 0.5000 0.7475
Sn1 0.1802 0.1802 0.5000
Sn2 0.8198 0.8198 0.5000
Hg1 0.2868 0.7132 0.0000
Hg2 0.7132 0.2868 0.0000


No. 10
Computed, not measured: a relaxed ZnRuCl2 crystal at the GGA-PBE level of DFT.

Results
D(E_F) (states/eV per cell): 4.1
Energy relative to the elements, uncorrected (eV/atom): 0.22
Offset from the most stable computed form (meV/atom): 488
Calculated volume (A^3/atom): 17.98
Magnetic moment (μB/atom): 0.161
Symmetry: R-3m

abc: 8.0330 8.0330 8.0330
angles: 23.42 23.42 23.42
Positions (direct):
Zn1 0.0000 0.0000 0.0000
Ru1 0.5000 0.5000 0.5000
Cl1 0.4016 0.4016 0.4016
Cl2 0.5984 0.5984 0.5984


No. 11
Computed, not measured: a relaxed ZrBeZn2 crystal at the GGA-PBE level of DFT.

Results
D(E_F) (states/eV per cell): 1.9
ΔE_f (eV/f.u.): 0.1
Calculated volume (A^3/atom): 15.29
Magnetic moment (μB/atom): 0.000
Symmetry: Immm

abc: 5.3801 5.3801 5.3801
angles: 148.05 131.56 59.20
Positions (direct):
Zr1 0.0000 0.0000 0.0000
Be1 0.5000 0.5000 0.0000
Zn1 0.2842 0.7842 0.5000
Zn2 0.7158 0.2158 0.5000


No. 12
Computed, not measured: a relaxed Li3CaAc2Sn4 crystal at the GGA-PBE level of DFT.

Results
D(E_F) (states/eV per cell): 5.4
ΔE_f (eV/f.u.): -5.7
Calculated volume (A^3/atom): 27.42
Magnetic moment (μB/atom): 0.000
Symmetry: P-4m2

abc: 4.6374 4.6374 12.7521
angles: 90.00 90.00 90.00
Positions (direct):
Li1 0.0000 0.0000 0.0000
Li2 0.0000 0.5000 0.6256
Li3 0.5000 0.0000 0.3744
Ca1 0.5000 0.5000 0.0000
Ac1 0.0000 0.5000 0.2738
Ac2 0.5000 0.0000 0.7262
Sn1 0.0000 0.0000 0.5000
Sn2 0.0000 0.5000 0.8367
Sn3 0.5000 0.0000 0.1633
Sn4 0.5000 0.5000 0.5000